Entry 1:
VASP calculation (PBE) on crystalline UCoSe at its relaxed geometry.

- total DFT energy (no corrections) (eV per atom) = -7.624
- mass density (g/cm3) = 11.7
- N(E_F) (states/eV per cell) = 4.68
- formation energy (no corrections) (eV per atom) = -0.33
- M_tot (μB per formula unit) = 0.96

a = 3.361 Å, b = 3.361 Å, c = 9.454 Å
α = 90.00°, β = 90.00°, γ = 90.00°
Space group I4mm (No. 107)
Symmetry-distinct sites (fractional):
1 U 0.000 0.000 0.000 [2 per cell]
2 Co 0.000 0.000 0.361 [2 per cell]
3 Se 0.000 0.000 0.691 [2 per cell]


Entry 2:
VASP calculation (PBE) on crystalline U2CoSe6 at its relaxed geometry.

- total DFT energy (no corrections) (eV per atom) = -6.298
- mass density (g/cm3) = 7.0
- N(E_F) (states/eV per cell) = 25.18
- formation energy (no corrections) (eV per atom) = -0.68
- M_tot (μB per formula unit) = 3.38

a = 6.430 Å, b = 6.430 Å, c = 11.530 Å
α = 90.00°, β = 90.00°, γ = 90.00°
Space group P4_2/mnm (No. 136)
Symmetry-distinct sites (fractional):
1 U 0.000 0.000 0.177 [4 per cell]
2 Co 0.000 0.000 0.500 [2 per cell]
3 Se 0.198 0.198 0.353 [8 per cell]
4 Se 0.202 0.202 0.000 [4 per cell]


Entry 3:
VASP calculation (PBE) on crystalline U3CoSe6 at its relaxed geometry.

- total DFT energy (no corrections) (eV per atom) = -7.136
- mass density (g/cm3) = 8.4
- N(E_F) (states/eV per cell) = 84.26
- formation energy (no corrections) (eV per atom) = -0.95
- M_tot (μB per formula unit) = 5.00

a = 11.126 Å, b = 13.504 Å, c = 6.549 Å
α = 90.00°, β = 90.00°, γ = 90.00°
Space group Cmc2_1 (No. 36)
Symmetry-distinct sites (fractional):
1 U 0.000 0.109 0.000 [4 per cell]
2 U 0.169 0.397 0.104 [8 per cell]
3 Co 0.000 0.301 0.690 [4 per cell]
4 Se 0.000 0.273 0.316 [4 per cell]
5 Se 0.000 0.466 0.797 [4 per cell]
6 Se 0.164 0.034 0.303 [8 per cell]
7 Se 0.178 0.233 0.829 [8 per cell]


Entry 4:
VASP calculation (PBE) on crystalline U3Co5Se12 at its relaxed geometry.

- total DFT energy (no corrections) (eV per atom) = -6.108
- mass density (g/cm3) = 7.6
- N(E_F) (states/eV per cell) = 263.96
- formation energy (no corrections) (eV per atom) = -0.55
- M_tot (μB per formula unit) = 1.55

a = 15.049 Å, b = 15.049 Å, c = 15.049 Å
α = 90.00°, β = 90.00°, γ = 90.00°
Space group Ia-3d (No. 230)
Symmetry-distinct sites (fractional):
1 U 0.000 0.250 0.125 [24 per cell]
2 Co 0.000 0.000 0.000 [16 per cell]
3 Co 0.000 0.250 0.375 [24 per cell]
4 Se 0.029 0.059 0.646 [96 per cell]


Entry 5:
VASP calculation (PBE) on crystalline U2CoSe5 at its relaxed geometry.

- total DFT energy (no corrections) (eV per atom) = -6.601
- mass density (g/cm3) = 7.3
- N(E_F) (states/eV per cell) = 43.61
- formation energy (no corrections) (eV per atom) = -0.71
- M_tot (μB per formula unit) = 4.00

a = 5.586 Å, b = 12.290 Å, c = 12.290 Å
α = 90.00°, β = 90.00°, γ = 90.00°
Space group Cmcm (No. 63)
Symmetry-distinct sites (fractional):
1 U 0.000 0.161 0.072 [8 per cell]
2 Co 0.000 0.203 0.750 [4 per cell]
3 Se 0.000 0.055 0.626 [8 per cell]
4 Se 0.000 0.302 0.250 [4 per cell]
5 Se 0.000 0.335 0.594 [8 per cell]


Entry 6:
VASP calculation (PBE) on crystalline UCoSe3 at its relaxed geometry.

- total DFT energy (no corrections) (eV per atom) = -6.171
- mass density (g/cm3) = 8.5
- N(E_F) (states/eV per cell) = 30.02
- formation energy (no corrections) (eV per atom) = -0.40
- M_tot (μB per formula unit) = 1.28

a = 8.452 Å, b = 6.600 Å, c = 7.491 Å
α = 90.00°, β = 90.00°, γ = 90.00°
Space group Ima2 (No. 46)
Symmetry-distinct sites (fractional):
1 U 0.250 0.104 0.000 [4 per cell]
2 Co 0.250 0.704 0.326 [4 per cell]
3 Se 0.025 0.238 0.268 [8 per cell]
4 Se 0.250 0.546 0.046 [4 per cell]


Entry 7:
VASP calculation (PBE) on crystalline VCoSe3 at its relaxed geometry.

- total DFT energy (no corrections) (eV per atom) = -5.795
- mass density (g/cm3) = 5.2
- N(E_F) (states/eV per cell) = 15.73
- formation energy (no corrections) (eV per atom) = -0.46
- M_tot (μB per formula unit) = 0.00

a = 3.421 Å, b = 22.426 Å, c = 5.767 Å
α = 90.00°, β = 90.00°, γ = 90.00°
Space group Ama2 (No. 40)
Symmetry-distinct sites (fractional):
1 V 0.250 0.171 0.000 [4 per cell]
2 Co 0.250 0.367 0.828 [4 per cell]
3 Se 0.250 0.076 0.199 [4 per cell]
4 Se 0.250 0.269 0.710 [4 per cell]
5 Se 0.250 0.365 0.219 [4 per cell]


Entry 8:
VASP calculation (PBE) on crystalline VCoSe3 at its relaxed geometry.

- total DFT energy (no corrections) (eV per atom) = -5.691
- mass density (g/cm3) = 5.6
- N(E_F) (states/eV per cell) = 5.00
- formation energy (no corrections) (eV per atom) = -0.36
- M_tot (μB per formula unit) = 1.47

a = 6.273 Å, b = 3.421 Å, c = 10.051 Å
α = 90.00°, β = 106.40°, γ = 90.00°
Space group P2_1/m (No. 11)
Symmetry-distinct sites (fractional):
1 V 0.195 0.250 0.447 [2 per cell]
2 Co 0.460 0.250 0.849 [2 per cell]
3 Se 0.089 0.250 0.671 [2 per cell]
4 Se 0.319 0.250 0.039 [2 per cell]
5 Se 0.428 0.750 0.361 [2 per cell]


Entry 9:
VASP calculation (PBE) on crystalline VCoSe2 at its relaxed geometry.

- total DFT energy (no corrections) (eV per atom) = -6.307
- mass density (g/cm3) = 4.9
- N(E_F) (states/eV per cell) = 2.61
- formation energy (no corrections) (eV per atom) = -0.51
- M_tot (μB per formula unit) = 0.00

a = 3.738 Å, b = 3.733 Å, c = 6.486 Å
α = 90.00°, β = 90.31°, γ = 90.00°
Space group Pm (No. 6)
Symmetry-distinct sites (fractional):
1 V 0.000 0.000 0.000 [1 per cell]
2 Co 0.500 0.500 0.000 [1 per cell]
3 Se 0.002 0.500 0.237 [1 per cell]
4 Se 0.498 0.000 0.763 [1 per cell]


Entry 10:
VASP calculation (PBE) on crystalline VCoSe2 at its relaxed geometry.

- total DFT energy (no corrections) (eV per atom) = -5.928
- mass density (g/cm3) = 6.3
- N(E_F) (states/eV per cell) = 14.33
- formation energy (no corrections) (eV per atom) = -0.13
- M_tot (μB per formula unit) = 1.08

a = 3.2362 Å, b = 3.2362 Å, c = 23.4231 Å
α = 90.00°, β = 90.00°, γ = 120.00°
Space group R-3m (No. 166, hexagonal axes)
Symmetry-distinct sites (fractional):
1 V 0.0000 0.0000 0.0000 [3 per cell]
2 Co 0.0000 0.0000 0.5000 [3 per cell]
3 Se 0.0000 0.0000 0.4027 [6 per cell]


Entry 11:
VASP calculation (PBE) on crystalline VCoSe4 at its relaxed geometry.

- total DFT energy (no corrections) (eV per atom) = -5.545
- mass density (g/cm3) = 5.5
- N(E_F) (states/eV per cell) = 1.09
- formation energy (no corrections) (eV per atom) = -0.52
- M_tot (μB per formula unit) = 0.00

a = 3.360 Å, b = 5.772 Å, c = 7.038 Å
α = 75.91°, β = 76.19°, γ = 89.66°
Space group P1 (No. 1)
Symmetry-distinct sites (fractional):
1 V 0.000 0.000 0.000 [1 per cell]
2 Co 0.504 0.590 0.016 [1 per cell]
3 Se 0.100 0.450 0.827 [1 per cell]
4 Se 0.420 0.176 0.204 [1 per cell]
5 Se 0.639 0.953 0.752 [1 per cell]
6 Se 0.881 0.645 0.256 [1 per cell]


Entry 12:
VASP calculation (PBE) on crystalline V3CoSe at its relaxed geometry.

- total DFT energy (no corrections) (eV per atom) = -6.937
- mass density (g/cm3) = 5.7
- N(E_F) (states/eV per cell) = 4.90
- formation energy (no corrections) (eV per atom) = 0.65
- M_tot (μB per formula unit) = 3.71

a = 4.383 Å, b = 4.383 Å, c = 4.383 Å
α = 90.00°, β = 90.00°, γ = 90.00°
Space group Pm-3m (No. 221)
Symmetry-distinct sites (fractional):
1 V 0.000 0.000 0.500 [3 per cell]
2 Co 0.000 0.000 0.000 [1 per cell]
3 Se 0.500 0.500 0.500 [1 per cell]